{
  "formula": "MgAsPb2",
  "functional": "SCAN",
  "state": "PBEsol geometry",
  "cell": [[-2.296, -1.167, 2.017], [1.643, -3.469, -0.136], [5.738, 2.506, 5.407]],
  "species": ["Pb", "Pb", "As", "Mg"],
  "frac_coords": [[0.919, 0.000, 0.966], [0.578, 0.500, 0.278], [0.719, 0.000, 0.561], [0.284, 0.500, 0.695]],
  "formation_enthalpy_0k_mev_per_atom": -126,
  "magnetic_moment_mub_per_fu": 0.0,
  "de_polymorph_ev_per_atom": 0.003,
  "total_energy_ev_per_atom": -44.307
}